Entry 1:
DFT (PBE) results for crystalline PrSb2Pb at its relaxed geometry.

Properties
space group: No. 72
DOS(E_F): 4.335 states/eV per cell
uncorrected energy: -4.704 eV/atom

a b c (Å): 6.8050 6.8121 6.8100
angles (deg): 76.79 73.68 119.38
Closest atoms and distances in Å follow each position.
Element x y z (fractional)
1 Sb 0.9972 0.7478 0.7506  4 Pb 3.39-3.42, 4 Pr 3.40-3.41, 2 Sb 3.43-3.44
2 Sb 0.0028 0.2522 0.2494  4 Pb 3.39-3.42, 4 Pr 3.40-3.41, 2 Sb 3.43-3.44
3 Sb 0.4992 0.2487 0.7495  4 Pb 3.40-3.41, 4 Pr 3.40-3.41, 2 Sb 3.43-3.44
4 Sb 0.5008 0.7513 0.2505  4 Pb 3.40-3.41, 4 Pr 3.40-3.41, 2 Sb 3.43-3.44
5 Pb 0.4996 0.2500 0.2502  8 Sb 3.39-3.42, 2 Pr 3.44
6 Pb 0.5004 0.7500 0.7498  8 Sb 3.39-3.42, 2 Pr 3.44
7 Pr 0.9999 0.7500 0.2499  8 Sb 3.40-3.41, 2 Pb 3.44
8 Pr 0.0001 0.2500 0.7501  8 Sb 3.40-3.41, 2 Pb 3.44

Entry 2:
DFT (PBE) results for crystalline Pr6Sb5Pb at its relaxed geometry.

Properties
space group: No. 12
DOS(E_F): 5.347 states/eV per cell
uncorrected energy: -5.475 eV/atom

a b c (Å): 7.8895 7.9137 7.9169
angles (deg): 60.01 80.37 70.44
Closest atoms and distances in Å follow each position.
Element x y z (fractional)
1 Sb 0.5000 0.5000 0.0000  6 Pr 3.19-3.24
2 Sb 0.0000 0.3335 0.3331  6 Pr 3.22
3 Sb 0.5000 0.8338 0.3324  6 Pr 3.19-3.24
4 Sb 0.5000 0.1662 0.6676  6 Pr 3.19-3.24
5 Sb 0.0000 0.6665 0.6669  6 Pr 3.22
6 Pr 0.2521 0.2540 0.0000  5 Sb 3.19-3.23, 1 Pb 3.27
7 Pr 0.2515 0.9162 0.6618  5 Sb 3.19-3.24, 1 Pb 3.27
8 Pr 0.7485 0.4219 0.6618  5 Sb 3.19-3.24, 1 Pb 3.27
9 Pr 0.7485 0.0838 0.3382  5 Sb 3.19-3.24, 1 Pb 3.27
10 Pr 0.2515 0.5781 0.3382  5 Sb 3.19-3.24, 1 Pb 3.27
11 Pr 0.7479 0.7460 0.0000  5 Sb 3.19-3.23, 1 Pb 3.27
12 Pb 0.0000 0.0000 0.0000  6 Pr 3.27

Entry 3:
DFT (PBE) results for crystalline Pr8SbPb5 at its relaxed geometry.

Properties
space group: No. 82
DOS(E_F): 7.436 states/eV per cell
uncorrected energy: -5.014 eV/atom

a b c (Å): 8.4462 8.4462 8.4462
angles (deg): 109.43 109.56 109.43
Closest atoms and distances in Å follow each position.
Element x y z (fractional)
1 Pr 0.7662 0.2513 0.3769  5 Pb 3.24-3.53, 1 Sb 3.51
2 Pr 0.1256 0.7487 0.5149  5 Pb 3.24-3.53, 1 Sb 3.51
3 Pr 0.2651 0.2532 0.3775  1 Sb 3.22, 5 Pb 3.23-3.54
4 Pr 0.9881 0.1124 0.7349  1 Sb 3.22, 5 Pb 3.23-3.54
5 Pr 0.4851 0.6107 0.2338  5 Pb 3.24-3.53, 1 Sb 3.51
6 Pr 0.6225 0.8876 0.8757  1 Sb 3.22, 5 Pb 3.23-3.54
7 Pr 0.6231 0.3893 0.8744  5 Pb 3.24-3.53, 1 Sb 3.51
8 Pr 0.1243 0.7468 0.0119  1 Sb 3.22, 5 Pb 3.23-3.54
9 Sb 0.2500 0.5000 0.7500  8 Pr 3.22-3.51
10 Pb 0.9992 0.3740 0.1236  8 Pr 3.23-3.54
11 Pb 0.3748 0.1244 0.0008  8 Pr 3.23-3.54
12 Pb 0.8764 0.8756 0.2504  8 Pr 3.23-3.54
13 Pb 0.7496 0.6260 0.6252  8 Pr 3.23-3.54
14 Pb 0.5000 0.0000 0.5000  8 Pr 3.24-3.54

Entry 4:
DFT (PBE) results for crystalline Pr8Sb5Pb at its relaxed geometry.

Properties
space group: No. 82
DOS(E_F): 14.012 states/eV per cell
uncorrected energy: -5.454 eV/atom

a b c (Å): 8.3309 8.3309 8.3309
angles (deg): 109.49 109.44 109.49
Closest atoms and distances in Å follow each position.
Element x y z (fractional)
1 Sb 0.7505 0.6227 0.6248  8 Pr 3.19-3.49
2 Sb 0.5000 0.0000 0.5000  8 Pr 3.20-3.45
3 Sb 0.0021 0.3773 0.1278  8 Pr 3.19-3.49
4 Sb 0.8722 0.8743 0.2495  8 Pr 3.19-3.49
5 Sb 0.3752 0.1257 0.9979  8 Pr 3.19-3.49
6 Pr 0.1239 0.7521 0.5149  5 Sb 3.19-3.46, 1 Pb 3.49
7 Pr 0.7628 0.2479 0.3718  5 Sb 3.19-3.46, 1 Pb 3.49
8 Pr 0.4851 0.6090 0.2372  5 Sb 3.19-3.46, 1 Pb 3.49
9 Pr 0.1257 0.7551 0.0191  5 Sb 3.19-3.49, 1 Pb 3.23
10 Pr 0.2639 0.2449 0.3705  5 Sb 3.19-3.49, 1 Pb 3.23
11 Pr 0.6295 0.8934 0.8743  5 Sb 3.19-3.49, 1 Pb 3.23
12 Pr 0.9809 0.1066 0.7361  5 Sb 3.19-3.49, 1 Pb 3.23
13 Pr 0.6282 0.3910 0.8761  5 Sb 3.19-3.46, 1 Pb 3.49
14 Pb 0.2500 0.5000 0.7500  8 Pr 3.23-3.49

Entry 5:
DFT (PBE) results for crystalline Pr4Sb3Pb at its relaxed geometry.

Properties
space group: No. 221
DOS(E_F): 5.609 states/eV per cell
uncorrected energy: -5.392 eV/atom

a b c (Å): 6.4624 6.4624 6.4624
angles (deg): 90.00 90.00 90.00
Closest atoms and distances in Å follow each position.
Element x y z (fractional)
1 Sb 0.5000 0.0000 0.5000  6 Pr 3.23
2 Sb 0.5000 0.5000 0.0000  6 Pr 3.23
3 Sb 0.0000 0.5000 0.5000  6 Pr 3.23
4 Pr 0.0000 0.5000 0.0000  4 Sb 3.23, 2 Pb 3.23
5 Pr 0.0000 0.0000 0.5000  4 Sb 3.23, 2 Pb 3.23
6 Pr 0.5000 0.5000 0.5000  6 Sb 3.23
7 Pr 0.5000 0.0000 0.0000  4 Sb 3.23, 2 Pb 3.23
8 Pb 0.0000 0.0000 0.0000  6 Pr 3.23

Entry 6:
DFT (PBE) results for crystalline PrSb2Pb at its relaxed geometry.

Properties
space group: No. 225
DOS(E_F): 2.236 states/eV per cell
uncorrected energy: -4.575 eV/atom

a b c (Å): 5.5615 5.5615 5.5615
angles (deg): 60.00 60.00 60.00
Closest atoms and distances in Å follow each position.
Element x y z (fractional)
1 Pr 0.0000 0.0000 0.0000  8 Sb 3.41
2 Pb 0.5000 0.5000 0.5000  8 Sb 3.41
3 Sb 0.7500 0.7500 0.7500  4 Pb 3.41, 4 Pr 3.41
4 Sb 0.2500 0.2500 0.2500  4 Pb 3.41, 4 Pr 3.41

Entry 7:
DFT (PBE) results for crystalline PrSbPb2 at its relaxed geometry.

Properties
space group: No. 123
DOS(E_F): 2.430 states/eV per cell
uncorrected energy: -4.520 eV/atom

a b c (Å): 5.3620 4.7240 4.7240
angles (deg): 90.00 90.00 90.00
Closest atoms and distances in Å follow each position.
Element x y z (fractional)
1 Sb 0.5000 0.5000 0.5000  4 Pr 3.34, 8 Pb 3.57
2 Pb 0.0000 0.5000 0.0000  4 Pb 3.34, 4 Sb 3.57, 4 Pr 3.57
3 Pb 0.0000 0.0000 0.5000  4 Pb 3.34, 4 Sb 3.57, 4 Pr 3.57
4 Pr 0.5000 0.0000 0.0000  4 Sb 3.34, 8 Pb 3.57

Entry 8:
DFT (PBE) results for crystalline Pr5Sb2Pb2 at its relaxed geometry.

Properties
space group: No. 64
DOS(E_F): 13.597 states/eV per cell
uncorrected energy: -5.218 eV/atom

a b c (Å): 8.5662 8.5161 9.1211
angles (deg): 117.83 90.00 90.00
Closest atoms and distances in Å follow each position.
Element x y z (fractional)
1 Pr 0.3367 0.6981 0.7295  3 Sb 3.23-3.40, 3 Pb 3.27-3.40
2 Pr 0.6633 0.0315 0.7295  3 Sb 3.23-3.40, 3 Pb 3.27-3.40
3 Pr 0.5000 0.5000 0.0000  2 Pb 3.29, 4 Sb 3.31
4 Pr 0.0000 0.0000 0.0000  2 Pb 3.29, 4 Sb 3.31
5 Pr 0.1633 0.4685 0.2705  3 Sb 3.23-3.40, 3 Pb 3.27-3.40
6 Pr 0.1633 0.1981 0.7295  3 Sb 3.23-3.40, 3 Pb 3.27-3.40
7 Pr 0.8367 0.8019 0.2705  3 Sb 3.23-3.40, 3 Pb 3.27-3.40
8 Pr 0.6633 0.3019 0.2705  3 Sb 3.23-3.40, 3 Pb 3.27-3.40
9 Pr 0.8367 0.5315 0.7295  3 Sb 3.23-3.40, 3 Pb 3.27-3.40
10 Pr 0.3367 0.9685 0.2705  3 Sb 3.23-3.40, 3 Pb 3.27-3.40
11 Sb 0.3612 0.1379 0.0000  8 Pr 3.23-3.40, 1 Sb 3.34
12 Sb 0.1388 0.6379 0.0000  8 Pr 3.23-3.40, 1 Sb 3.34
13 Sb 0.8612 0.3621 0.0000  8 Pr 3.23-3.40, 1 Sb 3.34
14 Sb 0.6388 0.8621 0.0000  8 Pr 3.23-3.40, 1 Sb 3.34
15 Pb 0.0000 0.7958 0.5916  7 Pr 3.27-3.40
16 Pb 0.5000 0.7042 0.4084  7 Pr 3.27-3.40
17 Pb 0.5000 0.2958 0.5916  7 Pr 3.27-3.40
18 Pb 0.0000 0.2042 0.4084  7 Pr 3.27-3.40

Entry 9:
DFT (PBE) results for crystalline Pr4SbPb2 at its relaxed geometry.

Properties
space group: No. 122
DOS(E_F): 11.740 states/eV per cell
uncorrected energy: -5.123 eV/atom

a b c (Å): 8.4141 8.4141 8.4141
angles (deg): 109.37 109.67 109.37
Closest atoms and distances in Å follow each position.
Element x y z (fractional)
1 Pr 0.9830 0.6120 0.7351  2 Sb 3.21-3.50, 4 Pb 3.23-3.53
2 Pr 0.7670 0.2521 0.8790  2 Sb 3.21-3.50, 4 Pb 3.23-3.53
3 Pr 0.4851 0.1120 0.2330  2 Sb 3.21-3.50, 4 Pb 3.23-3.53
4 Pr 0.6290 0.7521 0.0170  2 Sb 3.21-3.50, 4 Pb 3.23-3.53
5 Pr 0.1231 0.3880 0.3710  2 Sb 3.21-3.50, 4 Pb 3.23-3.53
6 Pr 0.1210 0.8880 0.3731  2 Sb 3.21-3.50, 4 Pb 3.23-3.53
7 Pr 0.6269 0.7479 0.5149  2 Sb 3.21-3.50, 4 Pb 3.23-3.53
8 Pr 0.2649 0.2479 0.8769  2 Sb 3.21-3.50, 4 Pb 3.23-3.53
9 Pb 0.2504 0.6254 0.1250  8 Pr 3.23-3.53
10 Pb 0.3750 0.8746 0.7496  8 Pr 3.23-3.53
11 Pb 0.4996 0.3746 0.6250  8 Pr 3.23-3.53
12 Pb 0.8750 0.1254 0.5004  8 Pr 3.23-3.53
13 Sb 0.0000 0.0000 0.0000  8 Pr 3.21-3.50
14 Sb 0.7500 0.5000 0.2500  8 Pr 3.21-3.50

Entry 10:
DFT (PBE) results for crystalline Pr7Sb2Pb2 at its relaxed geometry.

Properties
space group: No. 65
DOS(E_F): 12.415 states/eV per cell
uncorrected energy: -4.890 eV/atom

a b c (Å): 7.4645 7.2610 7.4645
angles (deg): 90.00 103.70 90.00
Closest atoms and distances in Å follow each position.
Element x y z (fractional)
1 Sb 0.2733 0.0000 0.7267  7 Pr 3.09-3.25
2 Sb 0.7267 0.0000 0.2733  7 Pr 3.09-3.25
3 Pr 0.9998 0.2803 0.5003  2 Sb 3.09, 1 Pr 3.19, 2 Pb 3.40
4 Pr 0.0000 0.0000 0.0000  2 Sb 3.21
5 Pr 0.4997 0.2803 0.0002  2 Sb 3.09, 1 Pr 3.19, 2 Pb 3.40
6 Pr 0.4998 0.2551 0.5002  2 Sb 3.24-3.25, 2 Pb 3.44, 1 Pr 3.56
7 Pr 0.5002 0.7449 0.4998  2 Sb 3.24-3.25, 2 Pb 3.44, 1 Pr 3.56
8 Pr 0.5003 0.7197 0.9998  2 Sb 3.09, 1 Pr 3.19, 2 Pb 3.40
9 Pr 0.0002 0.7197 0.4997  2 Sb 3.09, 1 Pr 3.19, 2 Pb 3.40
10 Pb 0.8192 0.5000 0.8192  1 Pb 3.33, 6 Pr 3.40-3.44
11 Pb 0.1808 0.5000 0.1808  1 Pb 3.33, 6 Pr 3.40-3.44

Entry 11:
DFT (PBE) results for crystalline PrSb2Pb at its relaxed geometry.

Properties
space group: No. 123
DOS(E_F): 2.477 states/eV per cell
uncorrected energy: -4.697 eV/atom

a b c (Å): 4.2602 4.2602 6.5754
angles (deg): 90.00 90.00 90.00
Closest atoms and distances in Å follow each position.
Element x y z (fractional)
1 Pb 0.5000 0.5000 0.5000  2 Pr 3.29, 8 Sb 3.47
2 Pr 0.5000 0.5000 0.0000  2 Pb 3.29, 8 Sb 3.40
3 Sb 0.0000 0.0000 0.7610  2 Sb 3.14-3.43, 4 Pr 3.40, 4 Pb 3.47
4 Sb 0.0000 0.0000 0.2390  2 Sb 3.14-3.43, 4 Pr 3.40, 4 Pb 3.47

Entry 12:
DFT (PBE) results for crystalline Pr3Sb4Pb at its relaxed geometry.

Properties
space group: No. 221
DOS(E_F): 5.078 states/eV per cell
uncorrected energy: -5.126 eV/atom

a b c (Å): 6.4708 6.4708 6.4708
angles (deg): 90.00 90.00 90.00
Closest atoms and distances in Å follow each position.
Element x y z (fractional)
1 Pr 0.5000 0.0000 0.5000  6 Sb 3.24
2 Pr 0.5000 0.5000 0.0000  6 Sb 3.24
3 Pr 0.0000 0.5000 0.5000  6 Sb 3.24
4 Pb 0.0000 0.0000 0.0000  6 Sb 3.24
5 Sb 0.0000 0.0000 0.5000  4 Pr 3.24, 2 Pb 3.24
6 Sb 0.0000 0.5000 0.0000  2 Pb 3.24, 4 Pr 3.24
7 Sb 0.5000 0.0000 0.0000  4 Pr 3.24, 2 Pb 3.24
8 Sb 0.5000 0.5000 0.5000  6 Pr 3.24

Quick rundown of formation energy (no corrections), same order as above: -0.521 -1.059 -0.664 -0.985 -0.993 -0.392 -0.441 -0.823 -0.743 -0.425 -0.514 -0.809 eV per atom
Quick rundown of size of the total moment, same order as above: 0.000 0.000 0.000 0.000 0.000 0.000 0.000 0.000 0.000 0.000 0.000 0.000 μB per atom